Below is crystalline NaMgN2F at its relaxed geometry, with properties calculated at the GGA-PBE level.

Calculated values
spin magnetization = 4.000 μB/f.u.
raw formation energy = 0.7809 eV per atom
distance to the lowest polymorph of the same formula = 788 meV/atom

Geometry as CIF:
```
data_NaMgN2F
_chemical_formula_sum 'Na1 Mg1 N2 F1'
_symmetry_space_group_name_H-M 'P 4/m m m'
_symmetry_Int_Tables_number 123
_symmetry_space_group_name_Hall '-P 4 2'
_cell_length_a 4.348
_cell_length_b 4.348
_cell_length_c 3.949
_cell_angle_alpha 90.00
_cell_angle_beta 90.00
_cell_angle_gamma 90.00
loop_
_atom_site_label
_atom_site_fract_x
_atom_site_fract_y
_atom_site_fract_z
_atom_site_occupancy
Na1 0.000 0.000 0.000 1
Mg1 0.500 0.500 0.500 1
N1 0.000 0.500 0.000 1
F1 0.000 0.000 0.500 1
```



Below is crystalline DyHo2Ni2 at its relaxed geometry, with properties calculated at the GGA-PBE level.

Calculated values
E_form = -118 kJ/mol of formula units
spin magnetization = 0.000 μB/f.u.
distance to the lowest polymorph of the same formula = 46 meV/atom

Geometry as CIF:
```
data_DyHo2Ni2
_chemical_formula_sum 'Dy2 Ho4 Ni4'
_symmetry_space_group_name_H-M 'C 1 2/m 1'
_symmetry_Int_Tables_number 12
_cell_length_a 11.375
_cell_length_b 3.754
_cell_length_c 5.492
_cell_angle_alpha 90.00
_cell_angle_beta 104.41
_cell_angle_gamma 90.00
loop_
_symmetry_equiv_pos_as_xyz
'x,y,z'
'-x,-y,-z'
'-x,y,-z'
'x,-y,z'
'x+1/2,y+1/2,z'
'-x+1/2,-y+1/2,-z'
'-x+1/2,y+1/2,-z'
'x+1/2,-y+1/2,z'
loop_
_atom_site_label
_atom_site_fract_x
_atom_site_fract_y
_atom_site_fract_z
_atom_site_occupancy
Dy1 0.000 0.000 0.000 1
Ho1 0.148 0.500 0.590 1
Ni1 0.212 0.500 0.114 1
```